Entry one
Density functional theory data (PBE) for a relaxed Hf2Mo2Os crystal.

calculated volume: 18.80 Å³/atom

Cell lengths 6.7583, 6.7583, 4.1162 Å; angles 90.00, 90.00, 90.00 degrees
Space group P4/mbm (No. 127)
Unique sites:
Hf 0.1520 0.3480 0.0000 x4
Mo 0.1607 0.6607 0.5000 x4
Os 0.0000 0.0000 0.0000 x2


Entry two
Density functional theory data (PBE) for a relaxed Hf2Mo2Os crystal.

calculated volume: 18.86 Å³/atom

Cell lengths 6.5318, 6.5318, 4.4212 Å; angles 90.00, 90.00, 90.00 degrees
Space group P4/mbm (No. 127)
Unique sites:
Hf 0.1756 0.3244 0.0000 x4
Mo 0.1392 0.6392 0.5000 x4
Os 0.0000 0.0000 0.5000 x2


The structure with the least stability is entry one.


Entry one
Density functional theory data (PBE) for a relaxed Hf3MoOs crystal.

calculated volume: 22.96 Å³/atom

Cell lengths 4.8605, 4.8605, 4.8605 Å; angles 90.00, 90.00, 90.00 degrees
Space group Pm-3m (No. 221)
Unique sites:
Hf 0.0000 0.0000 0.5000 x3
Mo 0.0000 0.0000 0.0000 x1
Os 0.5000 0.5000 0.5000 x1


Entry two
Density functional theory data (PBE) for a relaxed Hf3MoOs crystal.

calculated volume: 24.30 Å³/atom

Cell lengths 4.9526, 4.9526, 4.9526 Å; angles 90.00, 90.00, 90.00 degrees
Space group Pm-3m (No. 221)
Unique sites:
Hf 0.0000 0.0000 0.5000 x3
Mo 0.5000 0.5000 0.5000 x1
Os 0.0000 0.0000 0.0000 x1


The structure with the least stability is entry one.


Entry one
Density functional theory data (PBE) for a relaxed HfMo2Os crystal.

calculated volume: 18.36 Å³/atom

Cell lengths 7.4560, 7.4560, 5.2841 Å; angles 90.00, 90.00, 90.00 degrees
Space group I-42d (No. 122)
Unique sites:
Hf 0.0000 0.0000 0.0000 x4
Mo 0.2143 0.7500 0.6250 x8
Os 0.0000 0.0000 0.5000 x4


Entry two
Density functional theory data (PBE) for a relaxed HfMo2Os crystal.

calculated volume: 16.34 Å³/atom

Cell lengths 6.3942, 6.3942, 6.3942 Å; angles 90.00, 90.00, 90.00 degrees
Space group Fm-3m (No. 225)
Unique sites:
Hf 0.0000 0.0000 0.0000 x4
Mo 0.2500 0.2500 0.2500 x8
Os 0.0000 0.0000 0.5000 x4


The structure with the least stability is entry one.


Entry one
Density functional theory data (PBE) for a relaxed HfMoP crystal.

calculated volume: 15.77 Å³/atom

Cell lengths 6.9286, 6.9286, 3.4131 Å; angles 90.00, 90.00, 120.00 degrees
Space group P-62m (No. 189)
Unique sites:
Hf 0.0000 0.5967 0.0000 x3
Mo 0.0000 0.2530 0.5000 x3
P 0.0000 0.0000 0.0000 x1
P 0.3333 0.6667 0.5000 x2


Entry two
Density functional theory data (PBE) for a relaxed HfMoP crystal.

calculated volume: 17.26 Å³/atom

Cell lengths 13.9055, 3.2312, 9.4707 Å; angles 90.00, 103.26, 90.00 degrees
Space group C2/m (No. 12)
Unique sites:
Hf 0.0658 0.0000 0.1586 x4
Hf 0.0740 0.5000 0.6650 x4
Mo 0.2166 0.0000 0.8711 x4
Mo 0.2417 0.0000 0.3794 x4
P 0.1057 0.5000 0.9517 x4
P 0.1150 0.5000 0.3992 x4


Entry three
Density functional theory data (PBE) for a relaxed HfMoP crystal.

calculated volume: 16.02 Å³/atom

Cell lengths 12.2201, 3.4475, 6.8431 Å; angles 90.00, 90.00, 90.00 degrees
Space group Pmma (No. 51)
Unique sites:
Hf 0.0474 0.0000 0.2336 x4
Hf 0.2500 0.0000 0.8272 x2
Mo 0.1228 0.5000 0.5614 x4
Mo 0.2500 0.5000 0.1824 x2
P 0.0994 0.5000 0.9289 x4
P 0.2500 0.0000 0.4369 x2


The structure with the least stability is entry two.


Entry one
Density functional theory data (PBE) for a relaxed HfMo3P crystal.

calculated volume: 21.95 Å³/atom

Cell lengths 4.7879, 4.7879, 4.7879 Å; angles 90.00, 90.00, 90.00 degrees
Space group Pm-3m (No. 221)
Unique sites:
Hf 0.0000 0.0000 0.0000 x1
Mo 0.0000 0.0000 0.5000 x3
P 0.5000 0.5000 0.5000 x1


Entry two
Density functional theory data (PBE) for a relaxed HfMo3P crystal.

calculated volume: 18.08 Å³/atom

Cell lengths 4.4879, 4.4879, 4.4879 Å; angles 90.00, 90.00, 90.00 degrees
Space group Pm-3m (No. 221)
Unique sites:
Hf 0.0000 0.0000 0.0000 x1
Mo 0.0000 0.5000 0.5000 x3
P 0.5000 0.5000 0.5000 x1


The structure with the least stability is entry one.


Entry one
Density functional theory data (PBE) for a relaxed HfMoPS2 crystal.

calculated volume: 20.04 Å³/atom

Cell lengths 4.5464, 4.5464, 4.8469 Å; angles 90.00, 90.00, 90.00 degrees
Space group P4/mmm (No. 123)
Unique sites:
Hf 0.0000 0.0000 0.0000 x1
Mo 0.5000 0.5000 0.5000 x1
P 0.5000 0.5000 0.0000 x1
S 0.0000 0.5000 0.5000 x2


Entry two
Density functional theory data (PBE) for a relaxed HfMoPS2 crystal.

calculated volume: 23.78 Å³/atom

Cell lengths 4.8330, 4.8330, 5.0911 Å; angles 90.00, 90.00, 90.00 degrees
Space group P4/mmm (No. 123)
Unique sites:
Hf 0.0000 0.0000 0.0000 x1
Mo 0.5000 0.5000 0.5000 x1
P 0.0000 0.0000 0.5000 x1
S 0.0000 0.5000 0.0000 x2


The structure with the least stability is entry two.